This record from the Alexandria database describes a relaxed structure of DySnO4. The functional is GGA-PBE.

Cell: 6.5277 6.5277 6.5277 Å, 130.69 130.69 72.31°
With the nearest neighbours (Å) after each atom.
Sites, in units of the cell vectors:
Dy1 0.3750 0.1250 0.2500  8 O 2.35-2.38
Dy2 0.6250 0.8750 0.7500  8 O 2.35-2.38
Sn1 0.1250 0.3750 0.7500  4 O 2.01
Sn2 0.8750 0.6250 0.2500  4 O 2.01
O1 0.0220 0.2173 0.2995  1 Sn 2.01
O2 0.2225 0.5220 0.3047  1 Sn 2.01
O3 0.2827 0.0822 0.8047  1 Sn 2.01
O4 0.4178 0.7225 0.2005  1 Sn 2.01
O5 0.5822 0.2775 0.7995  1 Sn 2.01
O6 0.7173 0.9178 0.1953  1 Sn 2.01
O7 0.7775 0.4780 0.6953  1 Sn 2.01
O8 0.9780 0.7827 0.7005  1 Sn 2.01

Results
Its spin magnetization is 1.02 μB per formula unit. Its energy relative to the elements, uncorrected is -2.148 eV per atom.